No. 1
A plane-wave DFT calculation with GGA-PBEsol was carried out for crystalline BaSbSeI2 at its relaxed geometry.

Unit cell a=5.6898 b=5.6898 c=5.5606 alpha=90.00 beta=90.00 gamma=90.00
Sites, in units of the cell vectors:
Ba (0.0000, 0.0000, 0.0000)
Sb (0.5000, 0.5000, 0.0000)
Se (0.5000, 0.5000, 0.5000)
I (0.0000, 0.5000, 0.5000)
I (0.5000, 0.0000, 0.5000)

Results
The calculation puts the total magnetization at 0.00 μB/f.u. As for the uncorrected formation energy: -0.459 eV/atom. As for the energy: -3.28 eV/atom. As for the space group: No. 123. The density of states at the Fermi level comes out at 3.79 states/eV per cell.

=====

No. 2
A plane-wave DFT calculation with GGA-PBEsol was carried out for crystalline BaSnSb2I at its relaxed geometry.

Unit cell a=6.1266 b=6.1266 c=6.2131 alpha=90.00 beta=90.00 gamma=90.00
Sites, in units of the cell vectors:
Ba (0.0000, 0.0000, 0.0000)
Sn (0.5000, 0.5000, 0.5000)
Sb (0.0000, 0.5000, 0.0000)
Sb (0.5000, 0.0000, 0.0000)
I (0.0000, 0.0000, 0.5000)

Results
The calculation puts the total magnetization at 0.01 μB/f.u. As for the uncorrected formation energy: 0.618 eV/atom. As for the energy: -2.84 eV/atom. As for the space group: No. 123. The density of states at the Fermi level comes out at 6.51 states/eV per cell.

=====

No. 3
A plane-wave DFT calculation with GGA-PBEsol was carried out for crystalline BaSrSb2I at its relaxed geometry.

Unit cell a=6.0677 b=6.0677 c=6.3493 alpha=90.00 beta=90.00 gamma=90.00
Sites, in units of the cell vectors:
Ba (0.0000, 0.0000, 0.0000)
Sr (0.5000, 0.5000, 0.5000)
Sb (0.0000, 0.5000, 0.0000)
Sb (0.5000, 0.0000, 0.0000)
I (0.0000, 0.0000, 0.5000)

Results
The calculation puts the total magnetization at 0.00 μB/f.u. As for the uncorrected formation energy: -0.149 eV/atom. As for the energy: -3.12 eV/atom. As for the space group: No. 123. The density of states at the Fermi level comes out at 5.28 states/eV per cell.